(1)
Na3Ag2Sn2: optimized geometry, PBE.

Output
Final energy: -2.6707 eV/atom
Energy relative to the elements: -1.0 eV/f.u.
Crystal system: monoclinic
SG: C2/m, No. 12

Structure (POSCAR):
```
Na3Ag2Sn2
1.0
4.753 -0.017 -1.522
-2.598 4.261 -0.019
-0.075 -0.009 7.993
Na Sn Ag
3 2 2
Direct
0.715 0.858 0.573
0.000 0.000 0.000
0.285 0.142 0.427
0.829 0.415 0.244
0.171 0.585 0.756
0.553 0.276 0.829
0.447 0.724 0.171
```


(2)
TlSiP3: optimized geometry, PBE.

Output
Final energy: -4.1941 eV/atom
Crystal system: cubic
Polymorph energy (0 for the lowest one): 0 meV per atom
Energy relative to the elements, uncorrected: 0.6096 eV/atom
SG: Pm-3m, No. 221

Structure (POSCAR):
```
TlSiP3
1.0
-3.233 1.826 -2.804
0.633 -3.495 -3.005
-3.286 -2.470 2.180
Si Tl P
1 1 3
Direct
0.000 0.000 0.000
0.500 0.500 0.500
0.000 0.500 0.000
0.500 0.000 0.000
0.000 0.000 0.500
```


(3)
Pm7TlRh4: optimized geometry, PBE.

Output
Final energy: -5.7838 eV/atom
Energy relative to the elements: -4.4 eV/f.u.
Crystal system: monoclinic
SG: C2/m, No. 12

Structure (POSCAR):
```
Pm7TlRh4
1.0
-2.216 -2.005 -4.912
6.361 -1.422 -5.655
0.438 -7.365 -0.556
Rh Pm Tl
4 7 1
Direct
0.565 0.225 0.646
0.703 0.660 0.934
0.297 0.340 0.066
0.435 0.775 0.354
0.206 0.117 0.471
0.322 0.627 0.728
0.678 0.373 0.272
0.078 0.621 0.223
0.922 0.379 0.777
0.794 0.883 0.529
0.500 0.000 0.000
0.000 0.000 0.000
```


(4)
HoGePt3: optimized geometry, PBE.

Output
Final energy: -6.3141 eV/atom
Energy relative to the elements: -4.3 eV/f.u.
Crystal system: orthorhombic
Polymorph energy (0 for the lowest one): 0 meV per atom
SG: Pmn2_1, No. 31

Structure (POSCAR):
```
HoGePt3
1.0
7.264 0.000 0.000
0.000 4.585 0.000
0.000 0.000 5.696
Pt Ge Ho
6 2 2
Direct
0.002 0.036 0.299
0.502 0.316 0.799
0.673 0.792 0.557
0.173 0.561 0.542
0.173 0.561 0.057
0.673 0.792 0.042
0.367 0.842 0.799
0.867 0.511 0.299
0.907 0.202 0.799
0.407 0.151 0.299
```


(5)
NaLiLa2Co: optimized geometry, PBE.

Output
Final energy: -3.9187 eV/atom
Energy relative to the elements: 0.6 eV/f.u.
Crystal system: tetragonal
Polymorph energy (0 for the lowest one): 62 meV per atom
SG: P4/mmm, No. 123

Structure (POSCAR):
```
NaLiLa2Co
1.0
5.171 0.000 0.000
0.000 5.171 0.000
0.000 0.000 5.847
La Co Li Na
2 1 1 1
Direct
0.500 0.000 0.000
0.000 0.500 0.000
0.000 0.000 0.000
0.500 0.500 0.500
0.000 0.000 0.500
```


(6)
InCuTe2: optimized geometry, PBE.

Output
Final energy: -3.1158 eV/atom
Crystal system: tetragonal
Energy relative to the elements, uncorrected: 0.1637 eV/atom
SG: P4mm, No. 99

Structure (POSCAR):
```
InCuTe2
1.0
-2.837 -0.069 -1.486
1.328 -1.560 -2.463
-2.134 -8.905 4.491
Te In Cu
2 1 1
Direct
0.500 0.500 0.333
0.000 0.000 0.965
0.500 0.500 0.693
0.000 0.000 0.508
```